[1]
Density functional theory data (PBE) for NdAlCd2 after structural relaxation.

- energy relative to the elements (eV/atom) = -0.194
- DFT total energy (eV per atom) = -2.779
- V (Å³/atom) = 23.56

Cell: 5.108 5.108 5.108 Å, 60.00 60.00 60.00°
Fractional positions:
Al: 0.000 0.000 0.000
Nd: 0.500 0.500 0.500
Cd: 0.250 0.250 0.250
Cd: 0.750 0.750 0.750


[2]
Density functional theory data (PBE) for Nd3Al2Cd3 after structural relaxation.

- energy relative to the elements (eV/atom) = -0.335
- DFT total energy (eV per atom) = -3.402
- V (Å³/atom) = 26.12

Cell: 4.730 6.095 15.729 Å, 90.00 90.00 112.83°
Fractional positions:
Cd: 0.379 0.759 0.536
Cd: 0.621 0.241 0.464
Cd: 0.379 0.759 0.964
Cd: 0.341 0.682 0.250
Cd: 0.621 0.241 0.036
Cd: 0.659 0.318 0.750
Al: 0.203 0.406 0.104
Al: 0.797 0.594 0.896
Al: 0.203 0.406 0.396
Al: 0.797 0.594 0.604
Nd: 0.909 0.819 0.108
Nd: 0.370 0.739 0.750
Nd: 0.091 0.181 0.892
Nd: 0.909 0.819 0.392
Nd: 0.630 0.261 0.250
Nd: 0.091 0.181 0.608


[3]
Density functional theory data (PBE) for Nd3Al4Cd2 after structural relaxation.

- energy relative to the elements (eV/atom) = -0.410
- DFT total energy (eV per atom) = -3.866
- V (Å³/atom) = 24.21

Cell: 4.711 6.053 8.987 Å, 110.74 90.00 112.90°
Fractional positions:
Cd: 0.384 0.768 0.718
Cd: 0.616 0.232 0.282
Al: 0.949 0.898 0.612
Al: 0.051 0.102 0.388
Al: 0.270 0.539 0.941
Al: 0.730 0.461 0.059
Nd: 0.335 0.671 0.331
Nd: 0.665 0.329 0.669
Nd: 0.000 0.000 0.000


[4]
Density functional theory data (PBE) for Nd2Al2Cd3 after structural relaxation.

- energy relative to the elements (eV/atom) = -0.286
- DFT total energy (eV per atom) = -3.109
- V (Å³/atom) = 24.68

Cell: 3.537 4.505 11.075 Å, 101.73 90.00 90.00°
Fractional positions:
Al: 0.500 0.282 0.563
Al: 0.500 0.718 0.437
Nd: 0.000 0.159 0.317
Nd: 0.000 0.841 0.683
Cd: 0.500 0.429 0.858
Cd: 0.000 0.000 0.000
Cd: 0.500 0.571 0.142


[5]
Density functional theory data (PBE) for Nd6Al2Cd after structural relaxation.

- energy relative to the elements (eV/atom) = -0.202
- DFT total energy (eV per atom) = -4.314
- V (Å³/atom) = 30.86

Cell: 8.978 8.978 8.978 Å, 105.91 111.88 110.69°
Fractional positions:
Nd: 0.454 0.273 0.181
Nd: 0.909 0.727 0.181
Nd: 0.798 0.247 0.045
Nd: 0.286 0.964 0.678
Nd: 0.202 0.753 0.955
Nd: 0.202 0.247 0.449
Nd: 0.546 0.727 0.819
Nd: 0.714 0.036 0.322
Nd: 0.286 0.609 0.322
Nd: 0.798 0.753 0.551
Nd: 0.091 0.273 0.819
Nd: 0.714 0.391 0.678
Cd: 0.000 0.500 0.500
Cd: 0.000 0.000 0.000
Al: 0.637 0.000 0.637
Al: 0.363 0.000 0.363
Al: 0.500 0.621 0.121
Al: 0.500 0.379 0.879


[6]
Density functional theory data (PBE) for Nd2Al2Cd after structural relaxation.

- energy relative to the elements (eV/atom) = -0.389
- DFT total energy (eV per atom) = -3.976
- V (Å³/atom) = 25.42

Cell: 3.788 4.534 7.738 Å, 106.95 90.00 90.00°
Fractional positions:
Al: 0.000 0.202 0.404
Al: 0.000 0.798 0.596
Nd: 0.500 0.624 0.246
Nd: 0.500 0.376 0.754
Cd: 0.000 0.000 0.000


[7]
Density functional theory data (PBE) for Nd7Al5Cd after structural relaxation.

- energy relative to the elements (eV/atom) = -0.211
- DFT total energy (eV per atom) = -4.288
- V (Å³/atom) = 27.60

Cell: 6.525 8.118 8.118 Å, 75.82 66.31 66.31°
Fractional positions:
Nd: 0.611 0.389 0.389
Nd: 0.284 0.216 0.216
Nd: 0.523 0.153 0.801
Nd: 0.020 0.295 0.665
Nd: 0.020 0.665 0.295
Nd: 0.249 0.751 0.751
Nd: 0.523 0.801 0.153
Al: 0.980 0.986 0.480
Al: 0.980 0.480 0.986
Al: 0.775 0.725 0.725
Al: 0.555 0.480 0.986
Al: 0.555 0.986 0.480
Cd: 0.926 0.074 0.074


[8]
Density functional theory data (PBE) for Nd5AlCd4 after structural relaxation.

- energy relative to the elements (eV/atom) = -0.323
- DFT total energy (eV per atom) = -3.447
- V (Å³/atom) = 28.12

Cell: 3.798 3.798 19.496 Å, 90.00 90.00 90.00°
Fractional positions:
Nd: 0.500 0.500 0.703
Nd: 0.500 0.500 0.093
Nd: 0.500 0.500 0.500
Nd: 0.500 0.500 0.907
Nd: 0.500 0.500 0.297
Cd: 0.000 0.000 0.195
Cd: 0.000 0.000 0.805
Cd: 0.000 0.000 0.399
Cd: 0.000 0.000 0.601
Al: 0.000 0.000 0.000


[9]
Density functional theory data (PBE) for Nd8Al2Cd after structural relaxation.

- energy relative to the elements (eV/atom) = -0.153
- DFT total energy (eV per atom) = -4.384
- V (Å³/atom) = 30.66

Cell: 5.055 7.907 9.236 Å, 107.54 105.88 90.00°
Fractional positions:
Nd: 0.399 0.539 0.798
Nd: 0.672 0.931 0.344
Nd: 0.963 0.258 0.926
Nd: 0.037 0.742 0.074
Nd: 0.821 0.738 0.643
Nd: 0.179 0.262 0.357
Nd: 0.328 0.069 0.656
Nd: 0.601 0.461 0.202
Al: 0.206 0.681 0.413
Al: 0.794 0.319 0.587
Cd: 0.500 0.000 0.000


[10]
Density functional theory data (PBE) for Nd3Al8Cd after structural relaxation.

- energy relative to the elements (eV/atom) = -0.344
- DFT total energy (eV per atom) = -4.107
- V (Å³/atom) = 21.23

Cell: 5.660 5.660 9.746 Å, 73.12 73.12 60.00°
Fractional positions:
Nd: 0.504 0.504 0.488
Nd: 0.995 0.995 0.016
Nd: 0.374 0.374 0.878
Al: 0.188 0.188 0.436
Al: 0.939 0.435 0.687
Al: 0.437 0.943 0.184
Al: 0.943 0.437 0.184
Al: 0.939 0.939 0.687
Al: 0.688 0.688 0.937
Al: 0.435 0.939 0.687
Al: 0.437 0.437 0.184
Cd: 0.873 0.873 0.381


[11]
Density functional theory data (PBE) for NdAlCd2 after structural relaxation.

- energy relative to the elements (eV/atom) = -0.167
- DFT total energy (eV per atom) = -2.753
- V (Å³/atom) = 24.75

Cell: 4.942 3.352 5.977 Å, 89.71 90.00 90.00°
Fractional positions:
Nd: 0.500 0.500 0.000
Cd: 0.000 0.003 0.746
Cd: 0.000 0.997 0.254
Al: 0.500 0.000 0.500


[12]
Density functional theory data (PBE) for Nd4AlCd2 after structural relaxation.

- energy relative to the elements (eV/atom) = -0.167
- DFT total energy (eV per atom) = -3.687
- V (Å³/atom) = 30.32

Cell: 5.340 5.340 9.130 Å, 73.00 73.00 60.00°
Fractional positions:
Nd: 0.873 0.873 0.382
Nd: 0.380 0.380 0.861
Nd: 0.127 0.127 0.618
Nd: 0.620 0.620 0.139
Cd: 0.254 0.254 0.238
Cd: 0.746 0.746 0.762
Al: 0.000 0.000 0.000